Density functional theory data (GGA-PBE) for a relaxed structure of NaLiFe2.

## Properties
Formation enthalpy at 0 K ... 0.72 eV per atom
Space-group type ... No. 122
M_tot ... 10.437 μB/cell
Polymorph energy (0 for the lowest one) ... 0.000 eV/atom

abc: 10.4776 10.4776 10.4776
angles: 160.68 160.68 27.46
With the nearest neighbours (Å) after each atom.
Fractional coordinates of all 8 atoms:
1 Na 0.0000 0.0000 0.0000  4 Li 2.49
2 Na 0.7500 0.2500 0.5000  4 Li 2.49
3 Li 0.2500 0.7500 0.5000  4 Na 2.49
4 Li 0.5000 0.5000 0.0000  4 Na 2.49
5 Fe 0.1363 0.1250 0.5113  4 Fe 2.43-2.54
6 Fe 0.3750 0.8637 0.9887  4 Fe 2.43-2.54
7 Fe 0.6137 0.6250 0.4887  4 Fe 2.43-2.54
8 Fe 0.8750 0.3863 0.0113  4 Fe 2.43-2.54

---

Density functional theory data (GGA-PBE) for a relaxed structure of NaLi2Fe.

## Properties
Formation enthalpy at 0 K ... 0.54 eV per atom
Space-group type ... No. 225
M_tot ... 2.614 μB/cell
Polymorph energy (0 for the lowest one) ... 0.000 eV/atom

abc: 4.7291 4.7291 4.7291
angles: 60.00 60.00 60.00
With the nearest neighbours (Å) after each atom.
Fractional coordinates of all 4 atoms:
1 Na 0.0000 0.0000 0.0000  8 Li 2.90
2 Li 0.2500 0.2500 0.2500  4 Fe 2.90, 4 Na 2.90
3 Li 0.7500 0.7500 0.7500  4 Fe 2.90, 4 Na 2.90
4 Fe 0.5000 0.5000 0.5000  8 Li 2.90

---

Density functional theory data (GGA-PBE) for a relaxed structure of NaLiFe.

## Properties
Formation enthalpy at 0 K ... 0.39 eV per atom
Space-group type ... No. 1
M_tot ... 5.045 μB/cell
Polymorph energy (0 for the lowest one) ... 0.015 eV/atom

abc: 2.9269 5.6813 7.7829
angles: 105.52 100.75 104.80
With the nearest neighbours (Å) after each atom.
Fractional coordinates of all 6 atoms:
1 Na 0.0000 0.0000 0.0000  3 Na 2.93-3.27, 2 Li 2.99-3.00, 3 Fe 3.08-3.16
2 Na 0.0826 0.4009 0.7650  3 Na 2.93-3.27, 1 Li 3.07, 2 Fe 3.28
3 Li 0.1985 0.8192 0.5806  3 Fe 2.65-2.83, 4 Li 2.73-2.93
4 Li 0.6557 0.9754 0.3354  4 Li 2.73-2.93, 4 Fe 2.74-2.76, 2 Na 2.99-3.00
5 Fe 0.4022 0.4183 0.3860  2 Fe 2.28
6 Fe 0.8634 0.5295 0.1972  2 Fe 2.28

---

Density functional theory data (GGA-PBE) for a relaxed structure of NaLiFe.

## Properties
Formation enthalpy at 0 K ... 0.41 eV per atom
Space-group type ... No. 12
M_tot ... 5.240 μB/cell
Polymorph energy (0 for the lowest one) ... 0.032 eV/atom

abc: 6.5849 6.5849 7.0370
angles: 111.25 111.25 25.65
With the nearest neighbours (Å) after each atom.
Fractional coordinates of all 6 atoms:
1 Na 0.0000 0.0000 0.0000  2 Na 2.92, 4 Fe 3.09, 4 Li 3.18
2 Na 0.0000 0.0000 0.5000  2 Na 2.92
3 Li 0.2821 0.2821 0.6940  3 Fe 2.67-2.73, 4 Li 2.92-2.93
4 Li 0.7179 0.7179 0.3060  3 Fe 2.67-2.73, 4 Li 2.92-2.93
5 Fe 0.3148 0.3148 0.0996  2 Fe 2.27
6 Fe 0.6852 0.6852 0.9004  2 Fe 2.27

---

Density functional theory data (GGA-PBE) for a relaxed structure of NaLiFe3.

## Properties
Formation enthalpy at 0 K ... 1.19 eV per atom
Space-group type ... No. 221
M_tot ... 7.935 μB/cell
Polymorph energy (0 for the lowest one) ... 0.000 eV/atom

abc: 4.2841 4.2841 4.2841
angles: 90.00 90.00 90.00
With the nearest neighbours (Å) after each atom.
Fractional coordinates of all 5 atoms:
1 Na 0.0000 0.0000 0.0000  12 Fe 3.03
2 Li 0.5000 0.5000 0.5000  6 Fe 2.14
3 Fe 0.0000 0.5000 0.5000  2 Li 2.14
4 Fe 0.5000 0.0000 0.5000  2 Li 2.14
5 Fe 0.5000 0.5000 0.0000  2 Li 2.14

---

Density functional theory data (GGA-PBE) for a relaxed structure of NaLiFe.

## Properties
Formation enthalpy at 0 K ... 0.38 eV per atom
Space-group type ... No. 63
M_tot ... 4.816 μB/cell
Polymorph energy (0 for the lowest one) ... 0.000 eV/atom

abc: 10.2567 10.2567 2.9717
angles: 90.00 90.00 155.40
With the nearest neighbours (Å) after each atom.
Fractional coordinates of all 6 atoms:
1 Na 0.1796 0.8204 0.7500  2 Na 2.97, 2 Fe 3.14, 2 Li 3.27
2 Na 0.8204 0.1796 0.2500  2 Na 2.97, 2 Fe 3.14, 2 Li 3.27
3 Li 0.4415 0.5585 0.2500  6 Fe 2.66-2.97, 4 Li 2.78-2.97
4 Li 0.5585 0.4415 0.7500  6 Fe 2.66-2.97, 4 Li 2.78-2.97
5 Fe 0.0415 0.9585 0.2500  2 Fe 2.23
6 Fe 0.9585 0.0415 0.7500  2 Fe 2.23

---

Density functional theory data (GGA-PBE) for a relaxed structure of NaLiFe2.

## Properties
Formation enthalpy at 0 K ... 0.91 eV per atom
Space-group type ... No. 225
M_tot ... 5.518 μB/cell
Polymorph energy (0 for the lowest one) ... 0.193 eV/atom

abc: 4.4561 4.4561 4.4561
angles: 60.00 60.00 60.00
With the nearest neighbours (Å) after each atom.
Fractional coordinates of all 4 atoms:
1 Na 0.0000 0.0000 0.0000  8 Fe 2.73
2 Li 0.5000 0.5000 0.5000  8 Fe 2.73
3 Fe 0.2500 0.2500 0.2500  4 Li 2.73, 4 Na 2.73
4 Fe 0.7500 0.7500 0.7500  4 Li 2.73, 4 Na 2.73

---

Density functional theory data (GGA-PBE) for a relaxed structure of NaLiFe3.

## Properties
Formation enthalpy at 0 K ... 1.80 eV per atom
Space-group type ... No. 221
M_tot ... 8.357 μB/cell
Polymorph energy (0 for the lowest one) ... 0.603 eV/atom

abc: 4.5919 4.5919 4.5919
angles: 90.00 90.00 90.00
With the nearest neighbours (Å) after each atom.
Fractional coordinates of all 5 atoms:
1 Na 0.0000 0.0000 0.0000  6 Fe 2.30
2 Li 0.5000 0.5000 0.5000  12 Fe 3.25
3 Fe 0.0000 0.0000 0.5000  2 Na 2.30
4 Fe 0.0000 0.5000 0.0000  2 Na 2.30
5 Fe 0.5000 0.0000 0.0000  2 Na 2.30